VASP calculation (PBE-GGA) on crystalline NdErMgSc at its relaxed geometry.

Calculated values
E_form = -0.0043 eV/atom
magnetization = 0.0 μB/f.u.

a b c (Å): 3.589 3.589 8.869
angles (deg): 90.00 90.00 90.00
Fractional positions:
1 Nd 0.000 0.000 0.000
2 Er 0.000 0.000 0.502
3 Mg 0.500 0.500 0.742
4 Sc 0.500 0.500 0.258

***

VASP calculation (PBE-GGA) on crystalline CrHS2 at its relaxed geometry.

Calculated values
magnetization = 3.0 μB/f.u.
uncorrected energy = -5.77 eV/atom

a b c (Å): 3.572 3.572 5.977
angles (deg): 90.00 90.00 120.00
Fractional positions:
1 Cr 0.000 0.000 0.000
2 H 0.333 0.667 0.562
3 S 0.333 0.667 0.790
4 S 0.667 0.333 0.205